(1)
The following is a DFT calculation (PBE-GGA) of a geometry-optimized Hf3InMo structure.

abc: 6.7915 6.7915 6.7915
angles: 90.00 90.00 90.00
Last column: nearest neighbours and their distance in Å.
Space group Pm-3m (No. 221)
Asymmetric unit:
Hf 0.0000 0.0000 0.0000 (multiplicity 1)  8 Hf 3.13, 6 In 3.40
Hf 0.2657 0.2657 0.2657 (multiplicity 8)  3 Mo 2.88, 3 In 3.01, 4 Hf 3.13-3.18
In 0.0000 0.0000 0.5000 (multiplicity 3)  8 Hf 3.01
Mo 0.0000 0.5000 0.5000 (multiplicity 3)  8 Hf 2.88

Calculated values
**Energy above the most stable polymorph in this dataset**: 0.0 meV per atom
**Calculated formation energy**: 29 meV/atom
**VASP energy**: -129.9 eV for the cell shown
**Spin magnetization**: 0.000 μB per atom

---

(2)
The following is a DFT calculation (PBE-GGA) of a geometry-optimized HfInMo2N structure.

abc: 4.0958 4.0958 4.9750
angles: 90.00 90.00 90.00
Last column: nearest neighbours and their distance in Å.
Space group P4/mmm (No. 123)
Asymmetric unit:
Hf 0.0000 0.0000 0.0000 (multiplicity 1)  4 In 2.90, 8 Mo 3.22
In 0.5000 0.5000 0.0000 (multiplicity 1)  2 N 2.49
Mo 0.0000 0.5000 0.5000 (multiplicity 2)  2 N 2.05
N 0.5000 0.5000 0.5000 (multiplicity 1)  4 Mo 2.05

Calculated values
**E_form (uncorrected)**: 87 meV/atom
**VASP energy**: -42.2 eV for the cell shown
**Spin magnetization**: 0.000 μB per atom

---

(3)
The following is a DFT calculation (PBE-GGA) of a geometry-optimized Hf2NbInMo structure.

abc: 5.1181 5.1181 4.8535
angles: 90.00 90.00 90.00
Last column: nearest neighbours and their distance in Å.
Space group P4/mmm (No. 123)
Asymmetric unit:
Hf 0.0000 0.5000 0.0000 (multiplicity 2)  2 In 2.56
Nb 0.0000 0.0000 0.5000 (multiplicity 1)  8 Hf 3.53, 4 Mo 3.62
In 0.5000 0.5000 0.0000 (multiplicity 1)  2 Mo 2.43, 4 Hf 2.56
Mo 0.5000 0.5000 0.5000 (multiplicity 1)  2 In 2.43

Calculated values
**Calculated formation energy**: 1799 meV/atom
**VASP energy**: -34.6 eV for the cell shown
**Spin magnetization**: 0.000 μB per atom

---

(4)
The following is a DFT calculation (PBE-GGA) of a geometry-optimized HfNbInMo structure.

abc: 6.7289 6.7289 6.7289
angles: 90.00 90.00 90.00
Last column: nearest neighbours and their distance in Å.
Space group F-43m (No. 216)
Asymmetric unit:
Hf 0.0000 0.0000 0.0000 (multiplicity 4)  4 Mo 2.91, 4 In 2.91
Nb 0.0000 0.0000 0.5000 (multiplicity 4)  4 In 2.91, 4 Mo 2.91
In 0.2500 0.2500 0.7500 (multiplicity 4)  4 Hf 2.91, 4 Nb 2.91
Mo 0.2500 0.2500 0.2500 (multiplicity 4)  4 Nb 2.91, 4 Hf 2.91

Calculated values
**Calculated formation energy**: 7 meV/atom
**VASP energy**: -134.3 eV for the cell shown
**Spin magnetization**: 0.000 μB per atom

---

(5)
The following is a DFT calculation (PBE-GGA) of a geometry-optimized Hf2InMoP structure.

abc: 5.1652 5.1652 4.9292
angles: 90.00 90.00 90.00
Last column: nearest neighbours and their distance in Å.
Space group P4/mmm (No. 123)
Asymmetric unit:
Hf 0.0000 0.5000 0.0000 (multiplicity 2)  2 In 2.58
In 0.0000 0.0000 0.0000 (multiplicity 1)  2 Mo 2.46, 4 Hf 2.58
Mo 0.0000 0.0000 0.5000 (multiplicity 1)  2 In 2.46
P 0.5000 0.5000 0.5000 (multiplicity 1)  8 Hf 3.57, 4 Mo 3.65

Calculated values
**Calculated formation energy**: 1759 meV/atom
**VASP energy**: -30.1 eV for the cell shown
**Spin magnetization**: 0.204 μB per atom

---

(6)
The following is a DFT calculation (PBE-GGA) of a geometry-optimized HfInMoP2 structure.

abc: 4.9350 4.9350 5.1729
angles: 90.00 90.00 90.00
Last column: nearest neighbours and their distance in Å.
Space group P4/mmm (No. 123)
Asymmetric unit:
Hf 0.0000 0.0000 0.0000 (multiplicity 1)  4 P 2.47, 2 Mo 2.59
In 0.5000 0.5000 0.5000 (multiplicity 1)  4 Mo 3.49, 8 P 3.57
Mo 0.0000 0.0000 0.5000 (multiplicity 1)  2 Hf 2.59
P 0.0000 0.5000 0.0000 (multiplicity 2)  2 Hf 2.47

Calculated values
**Energy above the most stable polymorph in this dataset**: 0.0 meV per atom
**Calculated formation energy**: 912 meV/atom
**VASP energy**: -29.8 eV for the cell shown
**Spin magnetization**: 0.471 μB per atom